--- one ---
Here is crystalline Ti2HgN at its relaxed geometry from Alexandria via LeMat-Bulk. Energies are from PBE-GGA.

space-group type: No. 122
crystal system: tetragonal

The structure in POSCAR format:
```
Ti2HgN
1.0
6.1771 0.0000 0.0000
0.0000 6.1771 0.0000
3.0886 3.0886 3.4346
N Hg Ti
2 2 4
direct
0.5000 0.5000 0.0000 N
0.2500 0.7500 0.5000 N
0.0000 0.0000 0.0000 Hg
0.7500 0.2500 0.5000 Hg
0.5151 0.1250 0.2500 Ti
0.2349 0.6250 0.2500 Ti
0.3750 0.4849 0.7500 Ti
0.8750 0.7651 0.7500 Ti
```



--- two ---
Here is crystalline Ti2HgN at its relaxed geometry from Alexandria via LeMat-Bulk. Energies are from PBE-GGA.

space-group type: No. 160
crystal system: trigonal

The structure in POSCAR format:
```
Ti2HgN
1.0
3.0985 0.0000 0.0000
1.5493 2.6834 0.0000
1.5493 0.8945 6.9790
Ti Hg N
2 1 1
direct
0.0518 0.0518 0.8446 Ti
0.2813 0.2813 0.1562 Ti
0.4993 0.4993 0.5022 Hg
0.6677 0.6677 0.9969 N
```



Relative to the most stable structure, the computed energies are one 448; two 0, all in meV per atom.



--- one ---
Here is crystalline TiHg3N at its relaxed geometry from Alexandria via LeMat-Bulk. Energies are from PBE-GGA.

space-group type: No. 221
crystal system: cubic

The structure in POSCAR format:
```
TiHg3N
1.0
-1.8993 -2.7701 3.2994
2.9951 -3.4409 -1.1647
3.0966 1.6291 3.1503
N Hg Ti
1 3 1
direct
0.0000 0.0000 0.0000 N
0.0000 0.5000 0.0000 Hg
0.0000 0.0000 0.5000 Hg
0.5000 0.0000 0.0000 Hg
0.5000 0.5000 0.5000 Ti
```



--- two ---
Here is crystalline TiHg3N at its relaxed geometry from Alexandria via LeMat-Bulk. Energies are from PBE-GGA.

space-group type: No. 221
crystal system: cubic

The structure in POSCAR format:
```
TiHg3N
1.0
-0.8792 5.1472 -1.2687
-2.4911 -1.5364 -4.5066
-4.6794 -0.1492 2.6375
N Hg Ti
1 3 1
direct
0.5000 0.5000 0.5000 N
0.0000 0.5000 0.0000 Hg
0.0000 0.0000 0.5000 Hg
0.5000 0.0000 0.0000 Hg
0.0000 0.0000 0.0000 Ti
```



Relative to the most stable structure, the computed energies are one 0; two 638, all in meV per atom.